# CeDyGaGe (PBE-GGA, optimized geometry)
data_CeDyGaGe
_chemical_formula_sum 'Ce2 Dy2 Ga2 Ge2'
_cell_length_a 4.0397
_cell_length_b 4.3641
_cell_length_c 10.9961
_cell_angle_alpha 90.00
_cell_angle_beta 90.00
_cell_angle_gamma 90.00
_symmetry_space_group_name_H-M 'A m m 2'
_symmetry_Int_Tables_number 38
_symmetry_space_group_name_Hall 'A 2 -2'
loop_
_atom_site_label
_atom_site_fract_x
_atom_site_fract_y
_atom_site_fract_z
Ce1 0.0000 0.0000 0.0000
Dy1 0.5000 0.0000 0.2813
Ga1 0.5000 0.0000 0.5675
Ge1 0.0000 0.0000 0.7206
# E_tot: -41.82 eV per cell
# energy above the most stable polymorph in this dataset: 0.0 meV per atom
# total magnetic moment: 0.287 μB per atom
# D(E_F): 14.0 states/eV per cell


# CeDyGaGe (PBE-GGA, optimized geometry)
data_CeDyGaGe
_chemical_formula_sum 'Ce4 Dy4 Ga4 Ge4'
_cell_length_a 7.2150
_cell_length_b 7.2150
_cell_length_c 7.2150
_cell_angle_alpha 90.00
_cell_angle_beta 90.00
_cell_angle_gamma 90.00
_symmetry_space_group_name_H-M 'F -4 3 m'
_symmetry_Int_Tables_number 216
_symmetry_space_group_name_Hall 'F -4 2 3'
loop_
_atom_site_label
_atom_site_fract_x
_atom_site_fract_y
_atom_site_fract_z
Ce1 0.0000 0.0000 0.0000
Dy1 0.0000 0.0000 0.5000
Ga1 0.2500 0.2500 0.2500
Ge1 0.2500 0.2500 0.7500
# E_tot: -81.66 eV per cell
# energy above the most stable polymorph in this dataset: 123.7 meV per atom
# total magnetic moment: 0.234 μB per atom
# D(E_F): 26.8 states/eV per cell


# CeDyGaHg (PBE-GGA, optimized geometry)
data_CeDyGaHg
_chemical_formula_sum 'Ce4 Dy4 Ga4 Hg4'
_cell_length_a 7.4176
_cell_length_b 7.4176
_cell_length_c 7.4176
_cell_angle_alpha 90.00
_cell_angle_beta 90.00
_cell_angle_gamma 90.00
_symmetry_space_group_name_H-M 'F -4 3 m'
_symmetry_Int_Tables_number 216
_symmetry_space_group_name_Hall 'F -4 2 3'
loop_
_atom_site_label
_atom_site_fract_x
_atom_site_fract_y
_atom_site_fract_z
Ce1 0.0000 0.0000 0.0000
Dy1 0.0000 0.0000 0.5000
Ga1 0.2500 0.2500 0.2500
Hg1 0.2500 0.2500 0.7500
# E_tot: -62.24 eV per cell
# total magnetic moment: 0.296 μB per atom
# D(E_F): 39.3 states/eV per cell


# CeDyInGa (PBE-GGA, optimized geometry)
data_CeDyInGa
_chemical_formula_sum 'Ce1 Dy1 In1 Ga1'
_cell_length_a 3.4168
_cell_length_b 3.4168
_cell_length_c 8.5517
_cell_angle_alpha 90.00
_cell_angle_beta 90.00
_cell_angle_gamma 90.00
_symmetry_space_group_name_H-M 'P 4 m m'
_symmetry_Int_Tables_number 99
_symmetry_space_group_name_Hall 'P 4 -2'
loop_
_atom_site_label
_atom_site_fract_x
_atom_site_fract_y
_atom_site_fract_z
Ce1 0.0000 0.0000 0.0000
Dy1 0.0000 0.0000 0.4623
In1 0.5000 0.5000 0.7260
Ga1 0.5000 0.5000 0.2375
# E_tot: -18.19 eV per cell
# energy above the most stable polymorph in this dataset: 0.0 meV per atom
# total magnetic moment: 0.163 μB per atom
# D(E_F): 6.1 states/eV per cell


# CeDyInGa (PBE-GGA, optimized geometry)
data_CeDyInGa
_chemical_formula_sum 'Ce4 Dy4 In4 Ga4'
_cell_length_a 7.4405
_cell_length_b 7.4405
_cell_length_c 7.4405
_cell_angle_alpha 90.00
_cell_angle_beta 90.00
_cell_angle_gamma 90.00
_symmetry_space_group_name_H-M 'F -4 3 m'
_symmetry_Int_Tables_number 216
_symmetry_space_group_name_Hall 'F -4 2 3'
loop_
_atom_site_label
_atom_site_fract_x
_atom_site_fract_y
_atom_site_fract_z
Ce1 0.0000 0.0000 0.0000
Dy1 0.0000 0.0000 0.5000
In1 0.2500 0.2500 0.7500
Ga1 0.2500 0.2500 0.2500
# E_tot: -72.14 eV per cell
# energy above the most stable polymorph in this dataset: 39.1 meV per atom
# total magnetic moment: 0.232 μB per atom
# D(E_F): 27.2 states/eV per cell


# CeDyGaIr (PBE-GGA, optimized geometry)
data_CeDyGaIr
_chemical_formula_sum 'Ce2 Dy2 Ga2 Ir2'
_cell_length_a 4.4301
_cell_length_b 4.1681
_cell_length_c 9.9734
_cell_angle_alpha 90.00
_cell_angle_beta 90.00
_cell_angle_gamma 90.00
_symmetry_space_group_name_H-M 'A m m 2'
_symmetry_Int_Tables_number 38
_symmetry_space_group_name_Hall 'A 2 -2'
loop_
_atom_site_label
_atom_site_fract_x
_atom_site_fract_y
_atom_site_fract_z
Ce1 0.0000 0.0000 0.0000
Dy1 0.5000 0.0000 0.7137
Ga1 0.5000 0.0000 0.4210
Ir1 0.0000 0.0000 0.2728
# E_tot: -50.31 eV per cell
# energy above the most stable polymorph in this dataset: 0.0 meV per atom
# total magnetic moment: 0.047 μB per atom
# D(E_F): 9.3 states/eV per cell


| no. | formation enthalpy at 0 K (eV/atom) |
| --- | --- |
| 1 | -0.683 |
| 2 | -0.559 |
| 3 | -0.424 |
| 4 | -0.472 |
| 5 | -0.433 |
| 6 | -0.682 |